Computed, not measured: a geometry-optimized Ho2Al3Zn9 structure at the PBE level of DFT.

Cell and atoms, written as POSCAR:
```
Ho2Al3Zn9
1.0
-5.0470 -3.8988 4.3003
7.5015 -0.5313 1.6158
-0.7211 7.2588 5.7348
Zn Al Ho
18 6 4
direct
0.0218 0.3402 0.4116
0.6620 0.6620 0.0662
0.3380 0.3380 0.5662
0.0218 0.3402 0.0884
0.9782 0.6598 0.5884
0.9782 0.6598 0.9116
0.3402 0.0218 0.0884
0.3402 0.0218 0.4116
0.8601 0.8601 0.7500
0.3380 0.3380 0.9338
0.6620 0.6620 0.4338
0.3493 0.5448 0.2500
0.4552 0.6507 0.7500
0.1399 0.1399 0.2500
0.5448 0.3493 0.2500
0.6507 0.4552 0.7500
0.6598 0.9782 0.5884
0.6598 0.9782 0.9116
0.6843 0.3157 0.0000
0.6843 0.3157 0.5000
0.3157 0.6843 0.5000
0.0000 0.0000 0.0000
0.3157 0.6843 0.0000
0.0000 0.0000 0.5000
0.6754 0.0017 0.2500
0.9983 0.3246 0.7500
0.0017 0.6754 0.2500
0.3246 0.9983 0.7500
```

ΔH_f (0 K)   -3.39 eV/f.u.
SG   Cmcm (63)
DOS(E_F)   7.90 states/eV per cell